No. 1
Here is crystalline Ce3InCo at its relaxed geometry from Alexandria via LeMat-Bulk. Energies are from PBE.

Computed properties:
- ΔE to the lowest computed polymorph: 0 meV/atom
- VASP energy: -5.7368 eV/atom
- Volume: 136.1 Å³ per cell
- DOS at the Fermi energy: 2.9086 states/eV/atom
- SG: Pm-3m
- Energy relative to the elements: -0.21 eV/atom
- Total magnetization: 1.72 μB/f.u.

abc: 5.1441 5.1441 5.1441
angles: 90.00 90.00 90.00
With the nearest neighbours (Å) after each atom.
Sites, in units of the cell vectors:
Co 0.0000 0.0000 0.0000  6 Ce 2.57
In 0.5000 0.5000 0.5000  12 Ce 3.64
Ce 0.0000 0.5000 0.0000  2 Co 2.57
Ce 0.5000 0.0000 0.0000  2 Co 2.57
Ce 0.0000 0.0000 0.5000  2 Co 2.57

---

No. 2
Here is crystalline Ce12InCo6 at its relaxed geometry from Alexandria via LeMat-Bulk. Energies are from PBE.

Computed properties:
- VASP energy: -6.2968 eV/atom
- Volume: 447.0 Å³ per cell
- DOS at the Fermi energy: 2.6692 states/eV/atom
- SG: Im-3
- Energy relative to the elements: -0.16 eV/atom
- Total magnetization: 7.07 μB/f.u.

abc: 8.3428 8.3428 8.3428
angles: 109.47 109.47 109.47
With the nearest neighbours (Å) after each atom.
Sites, in units of the cell vectors:
Ce 0.6907 0.8726 0.1819  1 Co 2.50
Ce 0.3093 0.4912 0.1819  1 Co 2.50
Ce 0.1819 0.6907 0.8726  1 Co 2.50
Ce 0.8726 0.1819 0.6907  1 Co 2.50
Ce 0.8181 0.3093 0.1274  1 Co 2.50
Ce 0.5088 0.8181 0.6907  1 Co 2.50
Ce 0.6907 0.5088 0.8181  1 Co 2.50
Ce 0.1274 0.8181 0.3093  1 Co 2.50
Ce 0.1819 0.3093 0.4912  1 Co 2.50
Ce 0.3093 0.1274 0.8181  1 Co 2.50
Ce 0.8181 0.6907 0.5088  1 Co 2.50
Ce 0.4912 0.1819 0.3093  1 Co 2.50
Co 0.8582 0.3582 0.5000  2 Ce 2.50, 1 Co 2.73
Co 0.5000 0.1418 0.6418  2 Ce 2.50, 1 Co 2.73
Co 0.1418 0.6418 0.5000  2 Ce 2.50, 1 Co 2.73
Co 0.6418 0.5000 0.1418  2 Ce 2.50, 1 Co 2.73
Co 0.5000 0.8582 0.3582  2 Ce 2.50, 1 Co 2.73
Co 0.3582 0.5000 0.8582  2 Ce 2.50, 1 Co 2.73
In 0.0000 0.0000 0.0000  12 Ce 3.46

---

No. 3
Here is crystalline CeInCo at its relaxed geometry from Alexandria via LeMat-Bulk. Energies are from PBE.

Computed properties:
- VASP energy: -5.6647 eV/atom
- Volume: 261.3 Å³ per cell
- DOS at the Fermi energy: 0.9428 states/eV/atom
- SG: P2_1/c
- Energy relative to the elements: -0.41 eV/atom
- Total magnetization: 0.03 μB/f.u.

abc: 6.2520 6.0417 6.9293
angles: 90.00 93.30 90.00
With the nearest neighbours (Å) after each atom.
Sites, in units of the cell vectors:
Co 0.5408 0.6408 0.1520  1 Ce 2.18
Co 0.0408 0.8592 0.6520  1 Ce 2.18
Co 0.4592 0.3592 0.8480  1 Ce 2.18
Co 0.9592 0.1408 0.3480  1 Ce 2.18
Ce 0.2923 0.8677 0.8837  1 Co 2.18
Ce 0.7923 0.6323 0.3837  1 Co 2.18
Ce 0.2077 0.3677 0.6163  1 Co 2.18
Ce 0.7077 0.1323 0.1163  1 Co 2.18
In 0.3053 0.8796 0.3716  3 Co 2.61-2.68
In 0.8053 0.6204 0.8716  3 Co 2.61-2.68
In 0.6947 0.1204 0.6284  3 Co 2.61-2.68
In 0.1947 0.3796 0.1284  3 Co 2.61-2.68

---

No. 4
Here is crystalline CeInCo2 at its relaxed geometry from Alexandria via LeMat-Bulk. Energies are from PBE.

Computed properties:
- VASP energy: -5.6893 eV/atom
- Volume: 68.8 Å³ per cell
- DOS at the Fermi energy: 1.1353 states/eV/atom
- SG: P4/mmm
- Energy relative to the elements: 0.03 eV/atom
- Total magnetization: 0.87 μB/f.u.

abc: 3.2243 3.2243 6.6184
angles: 90.00 90.00 90.00
With the nearest neighbours (Å) after each atom.
Sites, in units of the cell vectors:
Co 0.0000 0.0000 0.7725  4 In 2.73, 4 Ce 2.91, 1 Co 3.01
Co 0.0000 0.0000 0.2275  4 In 2.73, 4 Ce 2.91, 1 Co 3.01
In 0.5000 0.5000 0.0000  8 Co 2.73
Ce 0.5000 0.5000 0.5000  8 Co 2.91, 4 Ce 3.22

---

No. 5
Here is crystalline CeInCo at its relaxed geometry from Alexandria via LeMat-Bulk. Energies are from PBE.

Computed properties:
- VASP energy: -5.4295 eV/atom
- Volume: 67.7 Å³ per cell
- DOS at the Fermi energy: 2.0698 states/eV/atom
- SG: F-43m
- Energy relative to the elements: -0.17 eV/atom
- Total magnetization: 0.23 μB/f.u.

abc: 4.5748 4.5748 4.5748
angles: 60.00 60.00 60.00
With the nearest neighbours (Å) after each atom.
Sites, in units of the cell vectors:
In 0.5000 0.5000 0.5000  4 Co 2.80
Ce 0.0000 0.0000 0.0000  4 Co 2.80
Co 0.2500 0.2500 0.2500  4 In 2.80, 4 Ce 2.80

---

No. 6
Here is crystalline Ce4In3Co2 at its relaxed geometry from Alexandria via LeMat-Bulk. Energies are from PBE.

Computed properties:
- VASP energy: -5.3978 eV/atom
- Volume: 433.6 Å³ per cell
- DOS at the Fermi energy: 1.5330 states/eV/atom
- SG: C2/c
- Energy relative to the elements: -0.27 eV/atom
- Total magnetization: 1.45 μB/f.u.

abc: 6.5193 8.7494 8.7494
angles: 60.31 90.21 90.21
With the nearest neighbours (Å) after each atom.
Sites, in units of the cell vectors:
In 0.2500 0.4501 0.5499  4 In 3.10-3.38, 4 Ce 3.26-3.48
In 0.8600 0.9467 0.2335  1 Co 2.70
In 0.3600 0.2335 0.9467  1 Co 2.70
In 0.1400 0.0533 0.7665  1 Co 2.70
In 0.7500 0.5499 0.4501  4 In 3.10-3.38, 4 Ce 3.26-3.48
In 0.6400 0.7665 0.0533  1 Co 2.70
Ce 0.0880 0.2210 0.3336  1 Co 2.33
Ce 0.9120 0.7790 0.6664  1 Co 2.33
Ce 0.6348 0.1346 0.6964  1 Co 2.67, 1 Ce 2.96
Ce 0.3652 0.8654 0.3036  1 Co 2.67, 1 Ce 2.96
Ce 0.5880 0.3336 0.2210  1 Co 2.33
Ce 0.4120 0.6664 0.7790  1 Co 2.33
Ce 0.1348 0.6964 0.1346  1 Co 2.67, 1 Ce 2.96
Ce 0.8652 0.3036 0.8654  1 Co 2.67, 1 Ce 2.96
Co 0.6879 0.0017 0.4825  1 Ce 2.33, 1 Co 2.47
Co 0.8121 0.5175 0.9983  1 Ce 2.33, 1 Co 2.47
Co 0.3121 0.9983 0.5175  1 Ce 2.33, 1 Co 2.47
Co 0.1879 0.4825 0.0017  1 Ce 2.33, 1 Co 2.47

---

No. 7
Here is crystalline Ce6In3Co at its relaxed geometry from Alexandria via LeMat-Bulk. Energies are from PBE.

Computed properties:
- VASP energy: -5.2466 eV/atom
- Volume: 273.7 Å³ per cell
- DOS at the Fermi energy: 3.0410 states/eV/atom
- SG: C2/m
- Energy relative to the elements: -0.15 eV/atom
- Total magnetization: 4.90 μB/f.u.

abc: 8.0364 6.2117 6.2117
angles: 64.71 79.48 79.48
With the nearest neighbours (Å) after each atom.
Sites, in units of the cell vectors:
Ce 0.6229 0.3381 0.9073  1 Co 2.60, 1 Ce 2.86
Ce 0.1365 0.6432 0.6432  1 Co 2.98, 1 In 3.27
Ce 0.6229 0.9073 0.3381  1 Co 2.60, 1 Ce 2.86
Ce 0.3771 0.0927 0.6619  1 Co 2.60, 1 Ce 2.86
Ce 0.3771 0.6619 0.0927  1 Co 2.60, 1 Ce 2.86
Ce 0.8635 0.3568 0.3568  1 Co 2.98, 1 In 3.27
In 0.7531 0.8297 0.8297  1 In 2.94, 5 Ce 3.22-3.28
In 0.2469 0.1703 0.1703  1 In 2.94, 5 Ce 3.22-3.28
In 0.0000 0.0000 0.0000  2 In 2.94
Co 0.5000 0.5000 0.5000  4 Ce 2.60

---

No. 8
Here is crystalline Ce3InCo at its relaxed geometry from Alexandria via LeMat-Bulk. Energies are from PBE.

Computed properties:
- ΔE to the lowest computed polymorph: 70 meV/atom
- VASP energy: -5.6672 eV/atom
- Volume: 240.5 Å³ per cell
- DOS at the Fermi energy: 1.8437 states/eV/atom
- SG: Imma
- Energy relative to the elements: -0.14 eV/atom
- Total magnetization: 0.73 μB/f.u.

abc: 7.4359 7.4359 7.4359
angles: 137.40 117.16 78.90
With the nearest neighbours (Å) after each atom.
Sites, in units of the cell vectors:
Ce 0.3227 0.8497 0.4729  1 Co 2.46
Ce 0.8768 0.8497 0.0271  1 Co 2.46
Ce 0.6773 0.1503 0.5271  1 Co 2.46
Ce 0.5644 0.3144 0.2500  4 Ce 2.86-3.08, 3 Co 3.09-3.15
Ce 0.1232 0.1503 0.9729  1 Co 2.46
Ce 0.4356 0.6856 0.7500  4 Ce 2.86-3.08, 3 Co 3.09-3.15
In 0.8451 0.5951 0.2500  2 Co 3.14, 7 Ce 3.22-3.40
In 0.1549 0.4049 0.7500  2 Co 3.14, 7 Ce 3.22-3.40
Co 0.2952 0.0452 0.2500  2 Ce 2.46
Co 0.7048 0.9548 0.7500  2 Ce 2.46

---

No. 9
Here is crystalline Ce2InCo at its relaxed geometry from Alexandria via LeMat-Bulk. Energies are from PBE.

Computed properties:
- ΔE to the lowest computed polymorph: 67 meV/atom
- VASP energy: -5.6509 eV/atom
- Volume: 358.5 Å³ per cell
- DOS at the Fermi energy: 1.8463 states/eV/atom
- SG: Ima2
- Energy relative to the elements: -0.22 eV/atom
- Total magnetization: 0.78 μB/f.u.

abc: 6.8408 4.7240 11.0934
angles: 90.00 90.00 90.00
With the nearest neighbours (Å) after each atom.
Sites, in units of the cell vectors:
Ce 0.2189 0.5000 0.9431  1 Co 2.53
Ce 0.7189 0.0000 0.4430  1 Co 2.53
Ce 0.4488 0.0000 0.8615  3 Co 2.57-2.77
Ce 0.9487 0.5000 0.3615  3 Co 2.57-2.77
Ce 0.7189 0.5000 0.0569  1 Co 2.53
Ce 0.4487 0.5000 0.6385  3 Co 2.57-2.77
Ce 0.2189 0.0000 0.5570  1 Co 2.53
Ce 0.9488 0.0000 0.1385  3 Co 2.57-2.77
In 0.9286 0.5000 0.6575  3 Co 2.70-3.02
In 0.4287 0.0000 0.1576  3 Co 2.70-3.02
In 0.4286 0.5000 0.3425  3 Co 2.70-3.02
In 0.9287 0.0000 0.8424  3 Co 2.70-3.02
Co 0.1535 0.5000 0.1677  4 Ce 2.53-2.77, 1 In 2.70
Co 0.6535 0.5000 0.8323  4 Ce 2.53-2.77, 1 In 2.70
Co 0.6536 0.0000 0.6675  4 Ce 2.53-2.77, 1 In 2.70
Co 0.1536 0.0000 0.3325  4 Ce 2.53-2.77, 1 In 2.70

---

No. 10
Here is crystalline CeIn5Co at its relaxed geometry from Alexandria via LeMat-Bulk. Energies are from PBE.

Computed properties:
- VASP energy: -4.0725 eV/atom
- Volume: 162.2 Å³ per cell
- DOS at the Fermi energy: 0.9565 states/eV/atom
- SG: P4/mmm
- Energy relative to the elements: -0.25 eV/atom
- Total magnetization: 0.77 μB/f.u.

abc: 4.6336 4.6336 7.5531
angles: 90.00 90.00 90.00
With the nearest neighbours (Å) after each atom.
Sites, in units of the cell vectors:
Ce 0.0000 0.0000 0.0000  12 In 3.28
In 0.5000 0.0000 0.3080  2 Co 2.73, 1 In 2.90
In 0.0000 0.5000 0.3080  2 Co 2.73, 1 In 2.90
In 0.5000 0.5000 0.0000  4 Ce 3.28, 8 In 3.28
In 0.0000 0.5000 0.6920  2 Co 2.73, 1 In 2.90
In 0.5000 0.0000 0.6920  2 Co 2.73, 1 In 2.90
Co 0.0000 0.0000 0.5000  8 In 2.73

---

No. 11
Here is crystalline CeInCoIr at its relaxed geometry from Alexandria via LeMat-Bulk. Energies are from PBE.

Computed properties:
- VASP energy: -6.4390 eV/atom
- Volume: 74.5 Å³ per cell
- DOS at the Fermi energy: 0.7751 states/eV/atom
- SG: F-43m
- Energy relative to the elements: -0.28 eV/atom
- Total magnetization: 0.95 μB/f.u.

abc: 4.7235 4.7235 4.7235
angles: 60.00 60.00 60.00
With the nearest neighbours (Å) after each atom.
Sites, in units of the cell vectors:
In 0.0000 0.0000 0.0000  4 Ir 2.89, 4 Co 2.89
Ir 0.2500 0.2500 0.2500  4 In 2.89, 4 Ce 2.89
Ce 0.5000 0.5000 0.5000  4 Co 2.89, 4 Ir 2.89
Co 0.7500 0.7500 0.7500  4 In 2.89, 4 Ce 2.89

---

No. 12
Here is crystalline Ce6In2CoIr at its relaxed geometry from Alexandria via LeMat-Bulk. Energies are from PBE.

Computed properties:
- VASP energy: -5.9467 eV/atom
- Volume: 295.4 Å³ per cell
- DOS at the Fermi energy: 3.1437 states/eV/atom
- SG: I4/mmm
- Energy relative to the elements: -0.24 eV/atom
- Total magnetization: 3.81 μB/f.u.

abc: 7.4314 7.4314 7.4978
angles: 119.69 119.70 90.04
With the nearest neighbours (Å) after each atom.
Sites, in units of the cell vectors:
Ce 0.7528 0.7532 0.5055  1 Co 2.64, 1 Ir 2.70
Ce 0.7588 0.2415 0.9998  1 Co 2.53, 1 Ir 2.72
Ce 0.2472 0.2478 0.4943  1 Co 2.64, 1 Ir 2.70
Ce 0.7589 0.7596 0.9995  1 Co 2.53, 1 Ir 2.72
Ce 0.2409 0.2411 0.9999  1 Co 2.53, 1 Ir 2.72
Ce 0.2408 0.7592 0.0000  1 Co 2.53, 1 Ir 2.72
Ir 0.5000 0.5005 0.0000  6 Ce 2.70-2.72
Co 0.0000 0.0005 0.9999  6 Ce 2.53-2.64
In 0.7498 0.2502 0.4995  12 Ce 3.72-3.75
In 0.2498 0.7502 0.4995  12 Ce 3.71-3.75